Below is a geometry-optimized BaNb3Re structure, with properties calculated at the PBE level.

Unit cell a=5.0429 b=5.0429 c=5.0429 alpha=90.00 beta=90.00 gamma=90.00
With the nearest neighbours (Å) after each atom.
Sites, in units of the cell vectors:
Nb  0.5000  0.0000  0.0000  2 Re 2.52
Nb  0.0000  0.0000  0.5000  2 Re 2.52
Nb  0.0000  0.5000  0.0000  2 Re 2.52
Ba  0.5000  0.5000  0.5000  12 Nb 3.57
Re  0.0000  0.0000  0.0000  6 Nb 2.52

## Properties
The calculation puts the volume at 128.2 Å³/cell. The value obtained for the density of states at the Fermi level is 7.51 states/eV/f.u. Its total energy is -7.9358 eV per atom. The calculation puts the formation energy at 0.980 eV per atom. The space-group type is Pm-3m (221).

---

Below is a geometry-optimized TbPm3Nd2As6 structure, with properties calculated at the PBE level.

Unit cell a=4.2361 b=8.4659 c=9.4655 alpha=102.93 beta=102.93 gamma=90.00
With the nearest neighbours (Å) after each atom.
Sites, in units of the cell vectors:
As  0.3350  0.9191  0.6701  1 Tb 2.96, 3 Pm 2.98-3.02, 2 Nd 3.00
As  0.9991  0.2453  0.9982  2 Tb 2.97, 3 Pm 2.98-3.02, 1 Nd 2.99
As  0.6650  0.0809  0.3299  1 Tb 2.96, 3 Pm 2.98-3.02, 2 Nd 3.00
As  0.6663  0.5844  0.3325  3 Pm 2.99, 3 Nd 3.01
As  0.3337  0.4156  0.6675  3 Pm 2.99, 3 Nd 3.01
As  0.0009  0.7547  0.0018  2 Tb 2.97, 3 Pm 2.98-3.02, 1 Nd 2.99
Pm  0.5000  0.5000  0.0000  6 As 2.99-3.02
Pm  0.8330  0.1662  0.6660  6 As 2.98-3.02
Pm  0.1670  0.8338  0.3340  6 As 2.98-3.02
Nd  0.8341  0.6677  0.6682  6 As 2.99-3.01
Nd  0.1659  0.3323  0.3318  6 As 2.99-3.01
Tb  0.5000  0.0000  0.0000  6 As 2.96-2.97

## Properties
The calculation puts the volume at 322.0 Å³/cell. The value obtained for the density of states at the Fermi level is 1.74 states/eV/f.u. Its total energy is -6.2138 eV per atom. The calculation puts the formation energy at -1.521 eV per atom. The space-group type is C2/m (12).

---

Below is a geometry-optimized Ba2CeZrN4 structure, with properties calculated at the PBE level.

Unit cell a=3.5877 b=6.6784 c=6.2013 alpha=71.92 beta=90.00 gamma=90.00
With the nearest neighbours (Å) after each atom.
Sites, in units of the cell vectors:
Zr  0.5000  0.5000  0.0000  6 N 2.30-2.37
N  0.5000  0.6854  0.2567  1 Zr 2.30, 2 Ce 2.42
N  0.0000  0.3111  0.2206  2 Zr 2.37, 1 Ce 2.44
N  0.5000  0.3146  0.7433  1 Zr 2.30, 2 Ce 2.42
N  0.0000  0.6889  0.7794  2 Zr 2.37, 1 Ce 2.44
Ce  0.0000  0.5000  0.5000  6 N 2.42-2.44
Ba  0.0000  0.0000  0.0000  6 N 2.82-2.84
Ba  0.5000  0.0000  0.5000  6 N 2.88-2.94

## Properties
The calculation puts the volume at 141.2 Å³/cell. The uncorrected formation energy is -1.0156 eV/atom. The value obtained for the density of states at the Fermi level is 1.07 states/eV/f.u. Its total energy is -7.4693 eV per atom. The space-group type is P2/m (10).

---

Below is a geometry-optimized CeSm4 structure, with properties calculated at the PBE level.

Unit cell a=5.6268 b=5.6268 c=5.6268 alpha=90.00 beta=90.00 gamma=90.00
With the nearest neighbours (Å) after each atom.
Sites, in units of the cell vectors:
Sm  0.0000  0.0000  0.0000  12 Sm 3.98
Sm  0.0000  0.5000  0.5000  2 Ce 2.81
Sm  0.5000  0.5000  0.0000  2 Ce 2.81
Sm  0.5000  0.0000  0.5000  2 Ce 2.81
Ce  0.5000  0.5000  0.5000  6 Sm 2.81

## Properties
The calculation puts the volume at 178.2 Å³/cell. The value obtained for the density of states at the Fermi level is 13.19 states/eV/f.u. Its energy above the lowest structure with this stoichiometry is 0.458 eV/atom. Its total energy is -4.4307 eV per atom. The calculation puts the formation energy at 0.531 eV per atom. The space-group type is Pm-3m (221).

---

Below is a geometry-optimized CrAgW2 structure, with properties calculated at the PBE level.

Unit cell a=2.6943 b=2.6943 c=9.0319 alpha=90.00 beta=90.00 gamma=109.29
With the nearest neighbours (Å) after each atom.
Sites, in units of the cell vectors:
W  0.0000  0.0000  0.5226  2 Cr 2.58, 4 W 2.69
W  0.0000  0.0000  0.9774  2 Cr 2.58, 4 W 2.69
Ag  0.5000  0.5000  0.2500  4 Ag 2.69, 4 W 2.91
Cr  0.5000  0.5000  0.7500  4 W 2.58, 4 Cr 2.69

## Properties
The calculation puts the volume at 61.9 Å³/cell. The value obtained for the density of states at the Fermi level is 2.77 states/eV/f.u. Its energy above the lowest structure with this stoichiometry is 0.000 eV/atom. Its total energy is -9.2096 eV per atom. The calculation puts the formation energy at 0.386 eV per atom. The space-group type is Cmmm (65).

---

Below is a geometry-optimized LiIn4Pb structure, with properties calculated at the PBE level.

Unit cell a=6.1924 b=6.1924 c=6.1924 alpha=60.00 beta=60.00 gamma=60.00
With the nearest neighbours (Å) after each atom.
Sites, in units of the cell vectors:
Li  0.7500  0.7500  0.7500  12 In 3.63, 4 Pb 3.79
In  0.8744  0.3752  0.3752  6 In 3.09-3.10
In  0.3752  0.3752  0.3752  6 In 3.09-3.10
In  0.3752  0.3752  0.8744  6 In 3.09-3.10
In  0.3752  0.8744  0.3752  6 In 3.09-3.10
Pb  0.0000  0.0000  0.0000  12 In 3.63, 4 Li 3.79

## Properties
The calculation puts the volume at 167.9 Å³/cell. The value obtained for the density of states at the Fermi level is 2.44 states/eV/f.u. Its energy above the lowest structure with this stoichiometry is 0.085 eV/atom. Its total energy is -2.7400 eV per atom. The calculation puts the formation energy at 0.023 eV per atom. The space-group type is F-43m (216).

---

Below is a geometry-optimized LiLaS2Cl structure, with properties calculated at the PBE level.

Unit cell a=4.6215 b=4.6215 c=4.6310 alpha=90.00 beta=90.00 gamma=90.00
With the nearest neighbours (Å) after each atom.
Sites, in units of the cell vectors:
Cl  0.0000  0.0000  0.5000  2 Li 2.32
La  0.5000  0.5000  0.5000  4 Cl 3.27, 8 S 3.27
Li  0.0000  0.0000  0.0000  4 S 2.31, 2 Cl 2.32
S  0.5000  0.0000  0.0000  2 Li 2.31
S  0.0000  0.5000  0.0000  2 Li 2.31

## Properties
The calculation puts the volume at 98.9 Å³/cell. The uncorrected formation energy is -1.3423 eV/atom. The value obtained for the density of states at the Fermi level is 3.47 states/eV/f.u. Its energy above the lowest structure with this stoichiometry is 0.000 eV/atom. Its total energy is -4.7309 eV per atom. The space-group type is P4/mmm (123).

---

Below is a geometry-optimized TlAu2 structure, with properties calculated at the PBE level.

Unit cell a=4.1930 b=5.0436 c=7.3925 alpha=103.80 beta=90.00 gamma=114.56
With the nearest neighbours (Å) after each atom.
Sites, in units of the cell vectors:
Tl  0.6475  0.2951  0.8836  7 Au 3.01-3.28, 1 Tl 3.30
Tl  0.2969  0.5938  0.6164  7 Au 3.01-3.28, 1 Tl 3.30
Au  0.8413  0.6826  0.3251  8 Au 2.90-3.02, 2 Tl 3.11
Au  0.3783  0.7565  0.0514  6 Au 2.90-2.99, 4 Tl 3.01-3.10
Au  0.1031  0.2063  0.1749  8 Au 2.90-3.02, 2 Tl 3.11
Au  0.5662  0.1324  0.4486  6 Au 2.90-2.99, 4 Tl 3.01-3.10

## Properties
The calculation puts the volume at 137.2 Å³/cell. The value obtained for the density of states at the Fermi level is 1.13 states/eV/f.u. Its energy above the lowest structure with this stoichiometry is 0.020 eV/atom. Its total energy is -2.9519 eV per atom. The calculation puts the formation energy at 0.022 eV per atom. The space-group type is C2/m (12).

---

Below is a geometry-optimized Mg2TePt2 structure, with properties calculated at the PBE level.

Unit cell a=7.7342 b=7.7342 c=3.0892 alpha=90.00 beta=90.00 gamma=90.00
With the nearest neighbours (Å) after each atom.
Sites, in units of the cell vectors:
Mg  0.6492  0.8508  0.5000  6 Pt 2.74
Mg  0.1492  0.6492  0.5000  6 Pt 2.74
Mg  0.8508  0.3508  0.5000  6 Pt 2.74
Mg  0.3508  0.1492  0.5000  6 Pt 2.74
Pt  0.8560  0.6440  0.0000  6 Mg 2.74, 2 Te 2.97
Pt  0.3560  0.8560  0.0000  6 Mg 2.74, 2 Te 2.97
Pt  0.6440  0.1440  0.0000  6 Mg 2.74, 2 Te 2.97
Pt  0.1440  0.3560  0.0000  6 Mg 2.74, 2 Te 2.97
Te  0.0000  0.0000  0.0000  4 Pt 2.97, 2 Te 3.09
Te  0.5000  0.5000  0.0000  4 Pt 2.97, 2 Te 3.09

## Properties
The calculation puts the volume at 184.8 Å³/cell. The uncorrected formation energy is -0.6076 eV/atom. The value obtained for the density of states at the Fermi level is 1.32 states/eV/f.u. Its energy above the lowest structure with this stoichiometry is 0.000 eV/atom. Its total energy is -4.2901 eV per atom. The space-group type is P4/mbm (127).

---

Below is a geometry-optimized Ba2Mo2Cl structure, with properties calculated at the PBE level.

Unit cell a=3.7193 b=3.7193 c=10.6100 alpha=79.91 beta=79.91 gamma=90.00
With the nearest neighbours (Å) after each atom.
Sites, in units of the cell vectors:
Mo  0.7500  0.2500  0.5000  4 Mo 2.63
Mo  0.2500  0.7500  0.5000  4 Mo 2.63
Cl  0.0000  0.0000  0.0000  8 Ba 3.45, 4 Cl 3.72
Ba  0.6082  0.6082  0.7835  4 Cl 3.45, 4 Mo 3.46, 4 Ba 3.72
Ba  0.3918  0.3918  0.2165  4 Cl 3.45, 4 Mo 3.46, 4 Ba 3.72

## Properties
The calculation puts the volume at 142.2 Å³/cell. The uncorrected formation energy is -0.0882 eV/atom. The value obtained for the density of states at the Fermi level is 5.95 states/eV/f.u. Its energy above the lowest structure with this stoichiometry is 0.000 eV/atom. Its total energy is -5.5591 eV per atom. The space-group type is I4/mmm (139).

---

Below is a geometry-optimized RbBa6Sr5 structure, with properties calculated at the PBE level.

Unit cell a=7.6532 b=9.9006 c=9.9006 alpha=83.98 beta=82.66 gamma=82.66
With the nearest neighbours (Å) after each atom.
Sites, in units of the cell vectors:
Sr  0.0000  0.3377  0.6623  5 Sr 4.30-4.42, 6 Ba 4.37-4.48, 1 Rb 4.47
Sr  0.5000  0.1714  0.8286  4 Sr 4.35-4.54, 6 Ba 4.36-4.50, 2 Rb 4.45
Sr  0.5000  0.8286  0.1714  4 Sr 4.35-4.54, 6 Ba 4.36-4.50, 2 Rb 4.45
Sr  0.0000  0.6623  0.3377  5 Sr 4.30-4.42, 6 Ba 4.37-4.48, 1 Rb 4.47
Sr  0.5000  0.5000  0.5000  6 Sr 4.35-4.39, 6 Ba 4.37-4.42
Ba  0.7467  0.7466  0.7466  5 Sr 4.37-4.50, 6 Ba 4.39-4.47, 1 Rb 4.49
Ba  0.2521  0.9163  0.5789  5 Sr 4.36-4.48, 6 Ba 4.37-4.47, 1 Rb 4.48
Ba  0.7479  0.0837  0.4211  5 Sr 4.36-4.48, 6 Ba 4.37-4.47, 1 Rb 4.48
Ba  0.7479  0.4211  0.0837  5 Sr 4.36-4.48, 6 Ba 4.37-4.47, 1 Rb 4.48
Ba  0.2521  0.5789  0.9163  5 Sr 4.36-4.48, 6 Ba 4.37-4.47, 1 Rb 4.48
Ba  0.2533  0.2534  0.2534  5 Sr 4.37-4.50, 6 Ba 4.39-4.47, 1 Rb 4.49
Rb  0.0000  0.0000  0.0000  6 Sr 4.45-4.47, 6 Ba 4.48-4.49

## Properties
The calculation puts the volume at 735.0 Å³/cell. The value obtained for the density of states at the Fermi level is 15.20 states/eV/f.u. Its total energy is -1.6951 eV per atom. The calculation puts the formation energy at 0.048 eV per atom. The space-group type is C2/m (12).

---

Below is a geometry-optimized HgBAs2C structure, with properties calculated at the PBE level.

Unit cell a=5.4085 b=2.8818 c=5.4085 alpha=90.00 beta=90.00 gamma=90.00
With the nearest neighbours (Å) after each atom.
Sites, in units of the cell vectors:
B  0.0000  0.5000  0.0000  2 C 1.44
Hg  0.5000  0.5000  0.5000  2 Hg 2.88, 8 As 3.06
As  0.5000  0.0000  0.0000  2 C 2.70, 2 As 2.88
As  0.0000  0.0000  0.5000  2 C 2.70, 2 As 2.88
C  0.0000  0.0000  0.0000  2 B 1.44

## Properties
The calculation puts the volume at 84.3 Å³/cell. The value obtained for the density of states at the Fermi level is 2.38 states/eV/f.u. Its total energy is -4.3972 eV per atom. The calculation puts the formation energy at 0.703 eV per atom. The space-group type is P4/mmm (123).

---

Below is a geometry-optimized VSeIN2 structure, with properties calculated at the PBE level.

Unit cell a=3.8225 b=3.8225 c=6.9951 alpha=90.00 beta=90.00 gamma=90.00
With the nearest neighbours (Å) after each atom.
Sites, in units of the cell vectors:
Se  0.0000  0.0000  0.0000  4 N 1.91
N  0.0000  0.5000  0.0000  2 Se 1.91
N  0.5000  0.0000  0.0000  2 Se 1.91
V  0.5000  0.5000  0.5000  4 I 2.70
I  0.0000  0.0000  0.5000  4 V 2.70

## Properties
The calculation puts the volume at 102.2 Å³/cell. The uncorrected formation energy is 1.8822 eV/atom. The value obtained for the density of states at the Fermi level is 6.89 states/eV/f.u. Its energy above the lowest structure with this stoichiometry is 1.279 eV/atom. Its total energy is -4.2786 eV per atom. The space-group type is P4/mmm (123).